Record 1
This record from Alexandria describes a geometry-optimized LiNp2NbN4 structure. The functional is PBE.

- density of states at the Fermi level (states/eV per atom) = 1.22
- formation energy without anion corrections (eV per formula unit) = -7.91
- total DFT energy (no corrections) (Ry/atom) = -0.7265

Cell: 5.538 3.315 5.801 Å, 90.00 110.19 90.00°
Fractional positions:
1 Li 0.000 0.000 0.000
2 Np 0.500 0.000 0.500
3 Np 0.500 0.500 0.000
4 Nb 0.000 0.500 0.500
5 N 0.238 0.000 0.741
6 N 0.256 0.500 0.270
7 N 0.744 0.500 0.730
8 N 0.762 0.000 0.259

***

Record 2
This record from Alexandria describes a geometry-optimized LiNp2NbN5 structure. The functional is PBE.

- density of states at the Fermi level (states/eV per atom) = 0.84
- formation energy without anion corrections (eV per formula unit) = -7.82
- total DFT energy (no corrections) (Ry/atom) = -0.7130

Cell: 6.585 6.585 10.022 Å, 90.00 90.00 151.75°
Fractional positions:
1 Li 0.020 0.980 0.500
2 Li 0.980 0.020 0.000
3 Np 0.363 0.637 0.336
4 Np 0.394 0.606 0.707
5 Np 0.606 0.394 0.207
6 Np 0.637 0.363 0.836
7 Nb 0.304 0.696 0.038
8 Nb 0.696 0.304 0.538
9 N 0.011 0.989 0.807
10 N 0.140 0.860 0.039
11 N 0.189 0.811 0.396
12 N 0.214 0.786 0.692
13 N 0.453 0.547 0.105
14 N 0.547 0.453 0.605
15 N 0.786 0.214 0.192
16 N 0.811 0.189 0.896
17 N 0.860 0.140 0.539
18 N 0.989 0.011 0.307

***

Record 3
This record from Alexandria describes a geometry-optimized LiNpNb2N4 structure. The functional is PBE.

- density of states at the Fermi level (states/eV per atom) = 0.83
- formation energy without anion corrections (eV per formula unit) = -8.66
- total DFT energy (no corrections) (Ry/atom) = -0.7071

Cell: 5.382 3.184 5.568 Å, 90.00 107.55 90.00°
Fractional positions:
1 Li 0.000 0.000 0.000
2 Np 0.500 0.500 0.000
3 Nb 0.000 0.500 0.500
4 Nb 0.500 0.000 0.500
5 N 0.235 0.000 0.743
6 N 0.262 0.500 0.264
7 N 0.738 0.500 0.736
8 N 0.765 0.000 0.257

***

Record 4
This record from Alexandria describes a geometry-optimized Li3Np2NbN6 structure. The functional is PBE.

- density of states at the Fermi level (states/eV per atom) = 0.77
- formation energy without anion corrections (eV per formula unit) = -10.78
- total DFT energy (no corrections) (Ry/atom) = -0.6274

Cell: 7.009 7.009 5.887 Å, 92.29 92.29 27.07°
Fractional positions:
1 Li 0.000 0.000 0.000
2 Li 0.376 0.376 0.763
3 Li 0.624 0.624 0.237
4 Np 0.313 0.313 0.242
5 Np 0.687 0.687 0.758
6 Nb 0.000 0.000 0.500
7 N 0.157 0.157 0.493
8 N 0.171 0.171 0.003
9 N 0.479 0.479 0.264
10 N 0.521 0.521 0.736
11 N 0.829 0.829 0.997
12 N 0.843 0.843 0.507

***

Record 5
This record from Alexandria describes a geometry-optimized LiNpNbN3 structure. The functional is PBE.

- density of states at the Fermi level (states/eV per atom) = 0.91
- formation energy without anion corrections (eV per formula unit) = -5.09
- total DFT energy (no corrections) (Ry/atom) = -0.6736

Cell: 6.646 3.168 6.826 Å, 90.00 103.71 90.00°
Fractional positions:
1 Li 0.081 0.250 0.086
2 Li 0.919 0.750 0.914
3 Np 0.190 0.250 0.714
4 Np 0.810 0.750 0.286
5 Nb 0.334 0.750 0.314
6 Nb 0.666 0.250 0.686
7 N 0.112 0.250 0.368
8 N 0.220 0.750 0.017
9 N 0.433 0.750 0.665
10 N 0.567 0.250 0.335
11 N 0.780 0.250 0.983
12 N 0.888 0.750 0.632

***

Record 6
This record from Alexandria describes a geometry-optimized LiNbNO2 structure. The functional is PBE.

- density of states at the Fermi level (states/eV per atom) = 0.48
- formation energy without anion corrections (eV per formula unit) = -6.70
- total DFT energy (no corrections) (Ry/atom) = -0.5429

Cell: 4.009 4.009 4.085 Å, 90.00 90.00 90.00°
Fractional positions:
1 Li 0.000 0.000 0.000
2 Nb 0.500 0.500 0.500
3 N 0.500 0.500 0.000
4 O 0.000 0.500 0.500
5 O 0.500 0.000 0.500

***

Record 7
This record from Alexandria describes a geometry-optimized LiNbNO2 structure. The functional is PBE.

- density of states at the Fermi level (states/eV per atom) = 0.28
- formation energy without anion corrections (eV per formula unit) = -1.63
- total DFT energy (no corrections) (Ry/atom) = -0.4683

Cell: 3.428 3.428 3.646 Å, 90.00 90.00 90.00°
Fractional positions:
1 Li 0.000 0.000 0.000
2 Nb 0.500 0.500 0.500
3 N 0.000 0.000 0.500
4 O 0.000 0.500 0.000
5 O 0.500 0.000 0.000

***

Record 8
This record from Alexandria describes a geometry-optimized Li4Nb3PN8 structure. The functional is PBE.

- density of states at the Fermi level (states/eV per atom) = 0.25
- formation energy without anion corrections (eV per formula unit) = -9.35
- total DFT energy (no corrections) (Ry/atom) = -0.5477

Cell: 6.156 6.156 6.156 Å, 59.28 59.28 59.28°
Fractional positions:
1 Li 0.000 0.000 0.000
2 Li 0.000 0.500 0.500
3 Li 0.500 0.000 0.500
4 Li 0.500 0.500 0.000
5 Nb 0.000 0.000 0.500
6 Nb 0.000 0.500 0.000
7 Nb 0.500 0.000 0.000
8 P 0.500 0.500 0.500
9 N 0.242 0.242 0.242
10 N 0.266 0.721 0.721
11 N 0.279 0.279 0.734
12 N 0.279 0.734 0.279
13 N 0.721 0.266 0.721
14 N 0.721 0.721 0.266
15 N 0.734 0.279 0.279
16 N 0.758 0.758 0.758

***

Record 9
This record from Alexandria describes a geometry-optimized LiPa2Nb3N6 structure. The functional is PBE.

- density of states at the Fermi level (states/eV per atom) = 0.44
- formation energy without anion corrections (eV per formula unit) = -15.18
- total DFT energy (no corrections) (Ry/atom) = -0.7120

Cell: 7.286 7.286 6.525 Å, 104.67 104.67 25.95°
Fractional positions:
1 Li 0.000 0.000 0.000
2 Pa 0.341 0.341 0.683
3 Pa 0.659 0.659 0.317
4 Nb 0.000 0.000 0.500
5 Nb 0.340 0.340 0.181
6 Nb 0.660 0.660 0.819
7 N 0.162 0.162 0.589
8 N 0.164 0.164 0.062
9 N 0.496 0.496 0.259
10 N 0.504 0.504 0.741
11 N 0.836 0.836 0.938
12 N 0.838 0.838 0.411

***

Record 10
This record from Alexandria describes a geometry-optimized Li4PaNb3N8 structure. The functional is PBE.

- formation energy without anion corrections (eV per formula unit) = -14.99
- total DFT energy (no corrections) (Ry/atom) = -0.5924

Cell: 6.309 6.309 6.309 Å, 61.46 61.46 61.46°
Fractional positions:
1 Li 0.000 0.000 0.000
2 Li 0.000 0.500 0.500
3 Li 0.500 0.000 0.500
4 Li 0.500 0.500 0.000
5 Pa 0.500 0.500 0.500
6 Nb 0.000 0.000 0.500
7 Nb 0.000 0.500 0.000
8 Nb 0.500 0.000 0.000
9 N 0.223 0.746 0.746
10 N 0.241 0.241 0.241
11 N 0.254 0.254 0.777
12 N 0.254 0.777 0.254
13 N 0.746 0.223 0.746
14 N 0.746 0.746 0.223
15 N 0.759 0.759 0.759
16 N 0.777 0.254 0.254

***

Record 11
This record from Alexandria describes a geometry-optimized Li3Pa2NbN6 structure. The functional is PBE.

- formation energy without anion corrections (eV per formula unit) = -13.72
- total DFT energy (no corrections) (Ry/atom) = -0.6032

Cell: 5.923 5.923 5.393 Å, 99.46 99.46 120.69°
Fractional positions:
1 Li 0.000 0.000 0.000
2 Li 0.365 0.635 0.000
3 Li 0.635 0.365 0.000
4 Pa 0.167 0.833 0.500
5 Pa 0.833 0.167 0.500
6 Nb 0.500 0.500 0.500
7 N 0.119 0.432 0.290
8 N 0.247 0.247 0.716
9 N 0.432 0.119 0.290
10 N 0.568 0.881 0.710
11 N 0.753 0.753 0.284
12 N 0.881 0.568 0.710

***

Record 12
This record from Alexandria describes a geometry-optimized Li3PaNb2N6 structure. The functional is PBE.

- formation energy without anion corrections (eV per formula unit) = -11.78
- total DFT energy (no corrections) (Ry/atom) = -0.5948

Cell: 7.240 7.240 6.297 Å, 100.53 100.53 25.68°
Fractional positions:
1 Li 0.000 0.000 0.000
2 Li 0.315 0.315 0.658
3 Li 0.685 0.685 0.342
4 Pa 0.000 0.000 0.500
5 Nb 0.333 0.333 0.147
6 Nb 0.667 0.667 0.853
7 N 0.161 0.161 0.615
8 N 0.177 0.177 0.078
9 N 0.481 0.481 0.241
10 N 0.519 0.519 0.759
11 N 0.823 0.823 0.922
12 N 0.839 0.839 0.385